Run one
# Y3HoAg2 PBE optimized geometry
data_Y3HoAg2
_chemical_formula_sum 'Y6 Ho2 Ag4'
_symmetry_space_group_name_H-M 'P 1'
_symmetry_Int_Tables_number 1
_cell_length_a 5.0960
_cell_length_b 9.1317
_cell_length_c 6.9724
_cell_angle_alpha 90.00
_cell_angle_beta 90.00
_cell_angle_gamma 90.00
loop_
_symmetry_equiv_pos_as_xyz
'x,y,z'
loop_
_atom_site_label
_atom_site_fract_x
_atom_site_fract_y
_atom_site_fract_z
Y1 0.0000 0.0634 0.0000
Y2 0.0000 0.3309 0.3619
Y3 0.0000 0.6691 0.8619
Y4 0.0000 0.9366 0.5000
Y5 0.5000 0.1721 0.6681
Y6 0.5000 0.8279 0.1681
Ho1 0.5000 0.4354 0.0312
Ho2 0.5000 0.5646 0.5312
Ag1 0.0000 0.3497 0.7825
Ag2 0.0000 0.6503 0.2825
Ag3 0.5000 0.1502 0.2482
Ag4 0.5000 0.8498 0.7482
# crystal system = orthorhombic
# calculated volume = 324.5 Å³/cell
# M_tot = 0.000 μB per atom

---

Run two
# Y3HoAg2 PBE optimized geometry
data_Y3HoAg2
_chemical_formula_sum 'Y6 Ho2 Ag4'
_symmetry_space_group_name_H-M 'P 1'
_symmetry_Int_Tables_number 1
_cell_length_a 8.6591
_cell_length_b 8.6591
_cell_length_c 8.6591
_cell_angle_alpha 132.02
_cell_angle_beta 72.51
_cell_angle_gamma 129.13
loop_
_symmetry_equiv_pos_as_xyz
'x,y,z'
loop_
_atom_site_label
_atom_site_fract_x
_atom_site_fract_y
_atom_site_fract_z
Y1 0.0218 0.7500 0.2718
Y2 0.2500 0.2500 0.0000
Y3 0.4782 0.7500 0.7282
Y4 0.5218 0.2500 0.2718
Y5 0.7500 0.7500 0.0000
Y6 0.9782 0.2500 0.7282
Ho1 0.0000 0.5000 0.5000
Ho2 0.5000 0.0000 0.5000
Ag1 0.1414 0.2025 0.3439
Ag2 0.3586 0.7025 0.0611
Ag3 0.6414 0.2975 0.9389
Ag4 0.8586 0.7975 0.6561
# crystal system = orthorhombic
# calculated volume = 365.7 Å³/cell
# M_tot = 0.000 μB per atom

---

run one has the most favorable energy; the next structure is 231 meV/atom above.

---

Run one
# YHo3Ag2 PBE optimized geometry
data_YHo3Ag2
_chemical_formula_sum 'Y2 Ho6 Ag4'
_symmetry_space_group_name_H-M 'P 1'
_symmetry_Int_Tables_number 1
_cell_length_a 8.6235
_cell_length_b 8.6235
_cell_length_c 8.6235
_cell_angle_alpha 131.96
_cell_angle_beta 72.43
_cell_angle_gamma 129.29
loop_
_symmetry_equiv_pos_as_xyz
'x,y,z'
loop_
_atom_site_label
_atom_site_fract_x
_atom_site_fract_y
_atom_site_fract_z
Y1 0.0000 0.0000 0.0000
Y2 0.5000 0.5000 0.0000
Ho1 0.0215 0.2500 0.7715
Ho2 0.2500 0.7500 0.5000
Ho3 0.4785 0.2500 0.2285
Ho4 0.5215 0.7500 0.7715
Ho5 0.7500 0.2500 0.5000
Ho6 0.9785 0.7500 0.2285
Ag1 0.1427 0.6998 0.8425
Ag2 0.3573 0.1998 0.5570
Ag3 0.6427 0.8002 0.4430
Ag4 0.8573 0.3002 0.1575
# crystal system = orthorhombic
# calculated volume = 360.7 Å³/cell
# M_tot = 0.000 μB per atom

---

Run two
# YHo3Ag2 PBE optimized geometry
data_YHo3Ag2
_chemical_formula_sum 'Y1 Ho3 Ag2'
_symmetry_space_group_name_H-M 'P 1'
_symmetry_Int_Tables_number 1
_cell_length_a 3.6054
_cell_length_b 3.6054
_cell_length_c 12.2456
_cell_angle_alpha 90.00
_cell_angle_beta 90.00
_cell_angle_gamma 90.00
loop_
_symmetry_equiv_pos_as_xyz
'x,y,z'
loop_
_atom_site_label
_atom_site_fract_x
_atom_site_fract_y
_atom_site_fract_z
Y1 0.0000 0.0000 0.0000
Ho1 0.5000 0.5000 0.2030
Ho2 0.5000 0.5000 0.5000
Ho3 0.5000 0.5000 0.7970
Ag1 0.0000 0.0000 0.3512
Ag2 0.0000 0.0000 0.6488
# crystal system = tetragonal
# calculated volume = 159.2 Å³/cell
# M_tot = 0.000 μB per atom

---

run two has the most favorable energy; the next structure is 231 meV/atom above.

---

Run one
# Y2Ho3Ag2 PBE optimized geometry
data_Y2Ho3Ag2
_chemical_formula_sum 'Y2 Ho3 Ag2'
_symmetry_space_group_name_H-M 'P 1'
_symmetry_Int_Tables_number 1
_cell_length_a 15.0492
_cell_length_b 15.0492
_cell_length_c 3.5911
_cell_angle_alpha 96.85
_cell_angle_beta 96.85
_cell_angle_gamma 13.71
loop_
_symmetry_equiv_pos_as_xyz
'x,y,z'
loop_
_atom_site_label
_atom_site_fract_x
_atom_site_fract_y
_atom_site_fract_z
Y1 0.2078 0.2078 0.2072
Y2 0.7922 0.7922 0.7928
Ho1 0.3768 0.3768 0.3778
Ho2 0.5000 0.5000 0.5000
Ho3 0.6232 0.6232 0.6222
Ag1 0.0616 0.0616 0.0607
Ag2 0.9384 0.9384 0.9393
# crystal system = monoclinic
# calculated volume = 191.3 Å³/cell
# M_tot = 0.000 μB per atom

---

Run two
# Y2Ho3Ag2 PBE optimized geometry
data_Y2Ho3Ag2
_chemical_formula_sum 'Y2 Ho3 Ag2'
_symmetry_space_group_name_H-M 'P 1'
_symmetry_Int_Tables_number 1
_cell_length_a 8.2931
_cell_length_b 8.2931
_cell_length_c 8.2931
_cell_angle_alpha 37.52
_cell_angle_beta 37.52
_cell_angle_gamma 37.52
loop_
_symmetry_equiv_pos_as_xyz
'x,y,z'
loop_
_atom_site_label
_atom_site_fract_x
_atom_site_fract_y
_atom_site_fract_z
Y1 0.0764 0.0764 0.0764
Y2 0.9236 0.9236 0.9236
Ho1 0.3396 0.3396 0.3396
Ho2 0.5000 0.5000 0.5000
Ho3 0.6604 0.6604 0.6604
Ag1 0.2129 0.2129 0.2129
Ag2 0.7871 0.7871 0.7871
# crystal system = trigonal
# calculated volume = 189.8 Å³/cell
# M_tot = 0.000 μB per atom

---

run one has the most favorable energy; the next structure is 57 meV/atom above.

---

Run one
# Ho4Zn2Ag PBE optimized geometry
data_Ho4Zn2Ag
_chemical_formula_sum 'Ho4 Zn2 Ag1'
_symmetry_space_group_name_H-M 'P 1'
_symmetry_Int_Tables_number 1
_cell_length_a 9.4263
_cell_length_b 9.4263
_cell_length_c 9.4263
_cell_angle_alpha 30.00
_cell_angle_beta 30.00
_cell_angle_gamma 30.00
loop_
_symmetry_equiv_pos_as_xyz
'x,y,z'
loop_
_atom_site_label
_atom_site_fract_x
_atom_site_fract_y
_atom_site_fract_z
Ho1 0.1200 0.1200 0.1200
Ho2 0.2968 0.2968 0.2968
Ho3 0.7032 0.7032 0.7032
Ho4 0.8800 0.8800 0.8800
Zn1 0.4041 0.4041 0.4041
Zn2 0.5959 0.5959 0.5959
Ag1 0.5000 0.5000 0.5000
# crystal system = trigonal
# calculated volume = 185.5 Å³/cell
# M_tot = 0.000 μB per atom

---

Run two
# Ho4Zn2Ag PBE optimized geometry
data_Ho4Zn2Ag
_chemical_formula_sum 'Ho4 Zn2 Ag1'
_symmetry_space_group_name_H-M 'P 1'
_symmetry_Int_Tables_number 1
_cell_length_a 8.5798
_cell_length_b 8.5798
_cell_length_c 8.5798
_cell_angle_alpha 33.97
_cell_angle_beta 33.97
_cell_angle_gamma 33.97
loop_
_symmetry_equiv_pos_as_xyz
'x,y,z'
loop_
_atom_site_label
_atom_site_fract_x
_atom_site_fract_y
_atom_site_fract_z
Ho1 0.1201 0.1201 0.1201
Ho2 0.3714 0.3714 0.3714
Ho3 0.6286 0.6286 0.6286
Ho4 0.8799 0.8799 0.8799
Zn1 0.2493 0.2493 0.2493
Zn2 0.7507 0.7507 0.7507
Ag1 0.5000 0.5000 0.5000
# crystal system = trigonal
# calculated volume = 175.8 Å³/cell
# M_tot = 0.000 μB per atom

---

run two has the most favorable energy; the next structure is 115 meV/atom above.

---

Run one
# Ho6Zn2Ag PBE optimized geometry
data_Ho6Zn2Ag
_chemical_formula_sum 'Ho12 Zn4 Ag2'
_symmetry_space_group_name_H-M 'P 1'
_symmetry_Int_Tables_number 1
_cell_length_a 8.4808
_cell_length_b 8.4808
_cell_length_c 8.4808
_cell_angle_alpha 111.49
_cell_angle_beta 108.76
_cell_angle_gamma 108.18
loop_
_symmetry_equiv_pos_as_xyz
'x,y,z'
loop_
_atom_site_label
_atom_site_fract_x
_atom_site_fract_y
_atom_site_fract_z
Ho1 0.0382 0.2164 0.8218
Ho2 0.2504 0.3022 0.5526
Ho3 0.2504 0.6978 0.9482
Ho4 0.2662 0.5880 0.3218
Ho5 0.2662 0.9444 0.6782
Ho6 0.3945 0.2164 0.1782
Ho7 0.6055 0.7836 0.8218
Ho8 0.7338 0.0556 0.3218
Ho9 0.7338 0.4120 0.6782
Ho10 0.7496 0.3022 0.0518
Ho11 0.7496 0.6978 0.4474
Ho12 0.9618 0.7836 0.1782
Zn1 0.0000 0.1371 0.1371
Zn2 0.0000 0.8629 0.8629
Zn3 0.3739 0.0000 0.3739
Zn4 0.6261 0.0000 0.6261
Ag1 0.0000 0.5000 0.5000
Ag2 0.5000 0.5000 0.0000
# crystal system = orthorhombic
# calculated volume = 469.1 Å³/cell
# M_tot = 0.000 μB per atom

---

Run two
# Ho6Zn2Ag PBE optimized geometry
data_Ho6Zn2Ag
_chemical_formula_sum 'Ho6 Zn2 Ag1'
_symmetry_space_group_name_H-M 'P 1'
_symmetry_Int_Tables_number 1
_cell_length_a 11.1097
_cell_length_b 11.1097
_cell_length_c 11.1097
_cell_angle_alpha 154.35
_cell_angle_beta 154.35
_cell_angle_gamma 36.59
loop_
_symmetry_equiv_pos_as_xyz
'x,y,z'
loop_
_atom_site_label
_atom_site_fract_x
_atom_site_fract_y
_atom_site_fract_z
Ho1 0.0860 0.5860 0.5000
Ho2 0.2500 0.7500 0.5000
Ho3 0.4140 0.9140 0.5000
Ho4 0.5860 0.0860 0.5000
Ho5 0.7500 0.2500 0.5000
Ho6 0.9140 0.4140 0.5000
Zn1 0.1666 0.1666 0.0000
Zn2 0.8334 0.8334 0.0000
Ag1 0.5000 0.5000 0.0000
# crystal system = tetragonal
# calculated volume = 256.6 Å³/cell
# M_tot = 0.000 μB per atom

---

run one has the most favorable energy; the next structure is 204 meV/atom above.

---

Run one
# HoZn2Ag3 PBE optimized geometry
data_HoZn2Ag3
_chemical_formula_sum 'Ho2 Zn4 Ag6'
_symmetry_space_group_name_H-M 'P 1'
_symmetry_Int_Tables_number 1
_cell_length_a 6.5557
_cell_length_b 6.5557
_cell_length_c 5.4003
_cell_angle_alpha 90.00
_cell_angle_beta 90.00
_cell_angle_gamma 85.55
loop_
_symmetry_equiv_pos_as_xyz
'x,y,z'
loop_
_atom_site_label
_atom_site_fract_x
_atom_site_fract_y
_atom_site_fract_z
Ho1 0.1564 0.8436 0.7500
Ho2 0.8436 0.1564 0.2500
Zn1 0.2558 0.2558 0.0000
Zn2 0.2558 0.2558 0.5000
Zn3 0.7442 0.7442 0.0000
Zn4 0.7442 0.7442 0.5000
Ag1 0.0689 0.6012 0.2500
Ag2 0.3988 0.9311 0.2500
Ag3 0.4959 0.5041 0.2500
Ag4 0.5041 0.4959 0.7500
Ag5 0.6012 0.0689 0.7500
Ag6 0.9311 0.3988 0.7500
# crystal system = orthorhombic
# calculated volume = 231.4 Å³/cell
# M_tot = 0.000 μB per atom

---

Run two
# HoZn2Ag3 PBE optimized geometry
data_HoZn2Ag3
_chemical_formula_sum 'Ho2 Zn4 Ag6'
_symmetry_space_group_name_H-M 'P 1'
_symmetry_Int_Tables_number 1
_cell_length_a 4.6210
_cell_length_b 4.6210
_cell_length_c 12.2398
_cell_angle_alpha 90.00
_cell_angle_beta 90.00
_cell_angle_gamma 120.00
loop_
_symmetry_equiv_pos_as_xyz
'x,y,z'
loop_
_atom_site_label
_atom_site_fract_x
_atom_site_fract_y
_atom_site_fract_z
Ho1 0.0000 0.0000 0.2500
Ho2 0.0000 0.0000 0.7500
Zn1 0.3333 0.6667 0.1201
Zn2 0.3333 0.6667 0.3799
Zn3 0.6667 0.3333 0.6201
Zn4 0.6667 0.3333 0.8799
Ag1 0.0000 0.0000 0.0000
Ag2 0.0000 0.0000 0.5000
Ag3 0.3333 0.6667 0.6092
Ag4 0.3333 0.6667 0.8908
Ag5 0.6667 0.3333 0.1092
Ag6 0.6667 0.3333 0.3908
# crystal system = hexagonal
# calculated volume = 226.4 Å³/cell
# M_tot = 0.000 μB per atom

---

run two has the most favorable energy; the next structure is 56 meV/atom above.